Below is crystalline CeSmDy2Tl4 at its relaxed geometry, with properties calculated at the PBE level.

Lattice parameters (Å, degrees): 9.4256 9.4256 9.4256 33.46 33.46 33.46
Atoms (fractional coordinates):
Ce (0.0000, 0.0000, 0.0000)
Sm (0.5000, 0.5000, 0.5000)
Dy (0.2498, 0.2498, 0.2498)
Dy (0.7502, 0.7502, 0.7502)
Tl (0.1254, 0.1254, 0.1254)
Tl (0.3756, 0.3756, 0.3756)
Tl (0.6244, 0.6244, 0.6244)
Tl (0.8746, 0.8746, 0.8746)

Space-group type: R-3m
Energy of formation, eV per atom: -0.32



Below is crystalline NiIr2Se at its relaxed geometry, with properties calculated at the PBE level.

Lattice parameters (Å, degrees): 2.7187 4.8377 9.0598 90.00 90.00 90.00
Atoms (fractional coordinates):
Ni (0.0000, 0.0000, 0.0000)
Ni (0.5000, 0.5000, 0.0000)
Ir (0.0000, 0.0000, 0.5106)
Ir (0.0000, 0.5000, 0.7616)
Ir (0.5000, 0.0000, 0.7616)
Ir (0.5000, 0.5000, 0.5106)
Se (0.0000, 0.5000, 0.2288)
Se (0.5000, 0.0000, 0.2288)

Space-group type: Cmm2
Uncorrected formation energy, eV per formula unit: 1.8
ΔE to the lowest computed polymorph, eV/atom: 0.2118



Below is crystalline NdThAgPt at its relaxed geometry, with properties calculated at the PBE level.

Lattice parameters (Å, degrees): 7.3442 7.3442 7.3442 90.00 90.00 90.00
Atoms (fractional coordinates):
Nd (0.0000, 0.0000, 0.0000)
Nd (0.0000, 0.5000, 0.5000)
Nd (0.5000, 0.0000, 0.5000)
Nd (0.5000, 0.5000, 0.0000)
Th (0.0000, 0.0000, 0.5000)
Th (0.0000, 0.5000, 0.0000)
Th (0.5000, 0.0000, 0.0000)
Th (0.5000, 0.5000, 0.5000)
Ag (0.2500, 0.2500, 0.7500)
Ag (0.2500, 0.7500, 0.2500)
Ag (0.7500, 0.2500, 0.2500)
Ag (0.7500, 0.7500, 0.7500)
Pt (0.2500, 0.2500, 0.2500)
Pt (0.2500, 0.7500, 0.7500)
Pt (0.7500, 0.2500, 0.7500)
Pt (0.7500, 0.7500, 0.2500)

Space-group type: F-43m
Energy of formation, eV per atom: -0.57



Below is crystalline BaMg2CrCu at its relaxed geometry, with properties calculated at the PBE level.

Lattice parameters (Å, degrees): 5.0434 5.0434 5.1731 90.00 90.00 90.00
Atoms (fractional coordinates):
Ba (0.0000, 0.0000, 0.0000)
Mg (0.0000, 0.5000, 0.5000)
Mg (0.5000, 0.0000, 0.5000)
Cr (0.5000, 0.5000, 0.0000)
Cu (0.5000, 0.5000, 0.5000)

Space-group type: P4/mmm
Energy of formation, eV per atom: 0.30



Below is crystalline Pm5Te5O2 at its relaxed geometry, with properties calculated at the PBE level.

Lattice parameters (Å, degrees): 7.3953 7.3953 11.2047 99.28 99.28 31.95
Atoms (fractional coordinates):
Pm (0.0000, 0.0000, 0.0000)
Pm (0.1018, 0.1018, 0.3375)
Pm (0.3623, 0.3623, 0.2118)
Pm (0.6377, 0.6377, 0.7882)
Pm (0.8982, 0.8982, 0.6625)
Te (0.2217, 0.2217, 0.6149)
Te (0.3348, 0.3348, 0.9100)
Te (0.5000, 0.5000, 0.5000)
Te (0.6652, 0.6652, 0.0900)
Te (0.7783, 0.7783, 0.3851)
O (0.0420, 0.0420, 0.8034)
O (0.9580, 0.9580, 0.1966)

Space-group type: C2/m
Uncorrected formation energy, eV per formula unit: -22.7



Below is crystalline In4CoBr at its relaxed geometry, with properties calculated at the PBE level.

Lattice parameters (Å, degrees): 6.1121 6.1121 6.1121 60.00 60.00 60.00
Atoms (fractional coordinates):
In (0.1255, 0.1255, 0.1255)
In (0.1255, 0.1255, 0.6236)
In (0.1255, 0.6236, 0.1255)
In (0.6236, 0.1255, 0.1255)
Co (0.5000, 0.5000, 0.5000)
Br (0.7500, 0.7500, 0.7500)

Space-group type: F-43m
Uncorrected formation energy, eV per formula unit: 3.0



Below is crystalline RbBa2InO4 at its relaxed geometry, with properties calculated at the PBE level.

Lattice parameters (Å, degrees): 7.4528 7.4528 7.7502 116.25 116.25 91.84
Atoms (fractional coordinates):
Rb (0.0000, 0.0000, 0.0000)
Rb (0.0000, 0.0000, 0.5000)
Ba (0.0000, 0.5000, 0.0000)
Ba (0.5000, 0.0000, 0.5000)
Ba (0.5000, 0.5000, 0.0000)
Ba (0.5000, 0.5000, 0.5000)
In (0.0000, 0.5000, 0.5000)
In (0.5000, 0.0000, 0.0000)
O (0.2008, 0.6896, 0.4343)
O (0.2178, 0.3278, 0.5401)
O (0.3104, 0.7992, 0.0657)
O (0.3278, 0.2178, 0.0401)
O (0.6722, 0.7822, 0.9599)
O (0.6896, 0.2008, 0.9343)
O (0.7822, 0.6722, 0.4599)
O (0.7992, 0.3104, 0.5657)

Space-group type: C2/c
Uncorrected formation energy, eV per formula unit: -14.2



Below is crystalline PrHf2F11 at its relaxed geometry, with properties calculated at the PBE level.

Lattice parameters (Å, degrees): 8.4428 8.4428 8.4428 125.04 106.65 98.01
Atoms (fractional coordinates):
Pr (0.2500, 0.2500, 0.0000)
Pr (0.7500, 0.7500, 0.0000)
Hf (0.1809, 0.6335, 0.8145)
Hf (0.3191, 0.1336, 0.4526)
Hf (0.6809, 0.8664, 0.5474)
Hf (0.8191, 0.3664, 0.1855)
F (0.0000, 0.5000, 0.5000)
F (0.0503, 0.9669, 0.2881)
F (0.0516, 0.3660, 0.1603)
F (0.1789, 0.4669, 0.9167)
F (0.2057, 0.8913, 0.8397)
F (0.2192, 0.3702, 0.5894)
F (0.2808, 0.8702, 0.1510)
F (0.2943, 0.1340, 0.6856)
F (0.3211, 0.2378, 0.2881)
F (0.4484, 0.6087, 0.3144)
F (0.4497, 0.7378, 0.9167)
F (0.5000, 0.0000, 0.5000)
F (0.5503, 0.2622, 0.0833)
F (0.5516, 0.3913, 0.6856)
F (0.6789, 0.7622, 0.7119)
F (0.7057, 0.8660, 0.3144)
F (0.7192, 0.1298, 0.8490)
F (0.7808, 0.6298, 0.4106)
F (0.7943, 0.1087, 0.1603)
F (0.8211, 0.5331, 0.0833)
F (0.9484, 0.6340, 0.8397)
F (0.9497, 0.0331, 0.7119)

Space-group type: Ibam
Uncorrected formation energy, eV per formula unit: -54.9



Below is crystalline CdPt6Au2 at its relaxed geometry, with properties calculated at the PBE level.

Lattice parameters (Å, degrees): 8.5718 8.5718 4.0461 90.00 90.00 90.00
Atoms (fractional coordinates):
Cd (0.0000, 0.0000, 0.0000)
Cd (0.5000, 0.5000, 0.5000)
Pt (0.0052, 0.3367, 0.0000)
Pt (0.1633, 0.5052, 0.5000)
Pt (0.1724, 0.1724, 0.5000)
Pt (0.3276, 0.6724, 0.0000)
Pt (0.3367, 0.0052, 0.0000)
Pt (0.4948, 0.8367, 0.5000)
Pt (0.5052, 0.1633, 0.5000)
Pt (0.6633, 0.9948, 0.0000)
Pt (0.6724, 0.3276, 0.0000)
Pt (0.8276, 0.8276, 0.5000)
Pt (0.8367, 0.4948, 0.5000)
Pt (0.9948, 0.6633, 0.0000)
Au (0.1639, 0.8361, 0.5000)
Au (0.3361, 0.3361, 0.0000)
Au (0.6639, 0.6639, 0.0000)
Au (0.8361, 0.1639, 0.5000)

Space-group type: P4_2/mnm
Energy of formation, eV per atom: -0.06



Below is crystalline UAgTe2S6 at its relaxed geometry, with properties calculated at the PBE level.

Lattice parameters (Å, degrees): 6.9044 7.0924 7.3217 62.30 68.05 61.33
Atoms (fractional coordinates):
U (0.0000, 0.0000, 0.0000)
Ag (0.5355, 0.6472, 0.5042)
Te (0.1274, 0.2616, 0.2138)
Te (0.6868, 0.9111, 0.8464)
S (0.0604, 0.3946, 0.8591)
S (0.2206, 0.9374, 0.6632)
S (0.3959, 0.7982, 0.1477)
S (0.6177, 0.2798, 0.8469)
S (0.8286, 0.1163, 0.3474)
S (0.9436, 0.6080, 0.3113)

Space-group type: P1
Uncorrected formation energy, eV per formula unit: -3.3



Below is crystalline SnMoPd2 at its relaxed geometry, with properties calculated at the PBE level.

Lattice parameters (Å, degrees): 3.9491 3.9491 18.8106 90.00 90.00 90.00
Atoms (fractional coordinates):
Sn (0.0000, 0.0000, 0.0000)
Sn (0.0000, 0.5000, 0.2500)
Sn (0.5000, 0.0000, 0.7500)
Sn (0.5000, 0.5000, 0.5000)
Mo (0.0000, 0.0000, 0.5000)
Mo (0.0000, 0.5000, 0.7500)
Mo (0.5000, 0.0000, 0.2500)
Mo (0.5000, 0.5000, 0.0000)
Pd (0.2446, 0.2500, 0.6250)
Pd (0.2500, 0.7446, 0.8750)
Pd (0.2500, 0.7554, 0.3750)
Pd (0.2554, 0.2500, 0.1250)
Pd (0.7446, 0.7500, 0.1250)
Pd (0.7500, 0.2446, 0.3750)
Pd (0.7500, 0.2554, 0.8750)
Pd (0.7554, 0.7500, 0.6250)

Space-group type: I-42d
Energy of formation, eV per atom: 0.28



Below is crystalline TaZnNO2 at its relaxed geometry, with properties calculated at the PBE level.

Lattice parameters (Å, degrees): 3.9038 3.9038 4.2201 90.00 90.00 90.00
Atoms (fractional coordinates):
Ta (0.0000, 0.0000, 0.0000)
Zn (0.5000, 0.5000, 0.5000)
N (0.0000, 0.0000, 0.5000)
O (0.0000, 0.5000, 0.0000)
O (0.5000, 0.0000, 0.0000)

Space-group type: P4/mmm
Uncorrected formation energy, eV per formula unit: -5.9



Below is crystalline AcPmGd at its relaxed geometry, with properties calculated at the PBE level.

Lattice parameters (Å, degrees): 3.7726 3.7726 9.0463 90.00 90.00 120.00
Atoms (fractional coordinates):
Ac (0.0000, 0.0000, 0.0000)
Pm (0.3333, 0.6667, 0.6567)
Gd (0.6667, 0.3333, 0.3388)

Space-group type: P3m1
ΔE to the lowest computed polymorph, eV/atom: 0.0098
Energy of formation, eV per atom: 0.04



Below is crystalline Ac8As4Se3S at its relaxed geometry, with properties calculated at the PBE level.

Lattice parameters (Å, degrees): 8.9756 8.9756 8.9756 60.20 60.20 60.20
Atoms (fractional coordinates):
Ac (0.2440, 0.7501, 0.7501)
Ac (0.2471, 0.2471, 0.2471)
Ac (0.2499, 0.2499, 0.7560)
Ac (0.2499, 0.7560, 0.2499)
Ac (0.7501, 0.2440, 0.7501)
Ac (0.7501, 0.7501, 0.2440)
Ac (0.7529, 0.7529, 0.7529)
Ac (0.7560, 0.2499, 0.2499)
As (0.0000, 0.0000, 0.5000)
As (0.0000, 0.5000, 0.0000)
As (0.5000, 0.0000, 0.0000)
As (0.5000, 0.5000, 0.5000)
Se (0.0000, 0.5000, 0.5000)
Se (0.5000, 0.0000, 0.5000)
Se (0.5000, 0.5000, 0.0000)
S (0.0000, 0.0000, 0.0000)

Space-group type: R-3m
Uncorrected formation energy, eV per formula unit: -27.9



Below is crystalline La5TmPb6 at its relaxed geometry, with properties calculated at the PBE level.

Lattice parameters (Å, degrees): 8.1801 8.1801 9.2777 90.00 90.00 143.32
Atoms (fractional coordinates):
La (0.0000, 0.0000, 0.0000)
La (0.3326, 0.6674, 0.0000)
La (0.3364, 0.6636, 0.5000)
La (0.6636, 0.3364, 0.5000)
La (0.6674, 0.3326, 0.0000)
Tm (0.0000, 0.0000, 0.5000)
Pb (0.1634, 0.8366, 0.2542)
Pb (0.1634, 0.8366, 0.7458)
Pb (0.5000, 0.5000, 0.2533)
Pb (0.5000, 0.5000, 0.7467)
Pb (0.8366, 0.1634, 0.2542)
Pb (0.8366, 0.1634, 0.7458)

Space-group type: Cmmm
Energy of formation, eV per atom: -0.55



Below is crystalline Hf2MnFe2 at its relaxed geometry, with properties calculated at the PBE level.

Lattice parameters (Å, degrees): 6.0294 6.0294 4.1318 90.00 90.00 90.00
Atoms (fractional coordinates):
Hf (0.1809, 0.3191, 0.0000)
Hf (0.3191, 0.8191, 0.0000)
Hf (0.6809, 0.1809, 0.0000)
Hf (0.8191, 0.6809, 0.0000)
Mn (0.0000, 0.0000, 0.5000)
Mn (0.5000, 0.5000, 0.5000)
Fe (0.1345, 0.6345, 0.5000)
Fe (0.3655, 0.1345, 0.5000)
Fe (0.6345, 0.8655, 0.5000)
Fe (0.8655, 0.3655, 0.5000)

Space-group type: P4/mbm
Energy of formation, eV per atom: -0.07



Below is crystalline Li2DyGeO4 at its relaxed geometry, with properties calculated at the PBE level.

Lattice parameters (Å, degrees): 4.3863 4.3863 9.5574 90.00 90.00 90.00
Atoms (fractional coordinates):
Li (0.0000, 0.0000, 0.0000)
Li (0.0000, 0.5000, 0.2500)
Li (0.5000, 0.0000, 0.7500)
Li (0.5000, 0.5000, 0.5000)
Dy (0.0000, 0.5000, 0.7500)
Dy (0.5000, 0.0000, 0.2500)
Ge (0.0000, 0.0000, 0.5000)
Ge (0.5000, 0.5000, 0.0000)
O (0.0000, 0.0000, 0.2796)
O (0.0000, 0.0000, 0.7204)
O (0.0000, 0.5000, 0.5062)
O (0.0000, 0.5000, 0.9938)
O (0.5000, 0.0000, 0.0062)
O (0.5000, 0.0000, 0.4938)
O (0.5000, 0.5000, 0.2204)
O (0.5000, 0.5000, 0.7796)

Space-group type: I-4m2
Uncorrected formation energy, eV per formula unit: -17.3



Below is crystalline Na4AgSn3S8 at its relaxed geometry, with properties calculated at the PBE level.

Lattice parameters (Å, degrees): 8.0446 8.0446 8.0446 57.43 57.43 57.43
Atoms (fractional coordinates):
Na (0.0000, 0.0000, 0.0000)
Na (0.0000, 0.5000, 0.5000)
Na (0.5000, 0.0000, 0.5000)
Na (0.5000, 0.5000, 0.0000)
Ag (0.5000, 0.5000, 0.5000)
Sn (0.0000, 0.0000, 0.5000)
Sn (0.0000, 0.5000, 0.0000)
Sn (0.5000, 0.0000, 0.0000)
S (0.2269, 0.7459, 0.7459)
S (0.2432, 0.2432, 0.2432)
S (0.2541, 0.2541, 0.7731)
S (0.2541, 0.7731, 0.2541)
S (0.7459, 0.2269, 0.7459)
S (0.7459, 0.7459, 0.2269)
S (0.7568, 0.7568, 0.7568)
S (0.7731, 0.2541, 0.2541)

Space-group type: R-3m
Uncorrected formation energy, eV per formula unit: -10.5



Below is crystalline Pa3ZnSe6 at its relaxed geometry, with properties calculated at the PBE level.

Lattice parameters (Å, degrees): 8.8115 8.8115 6.8104 90.00 90.00 100.64
Atoms (fractional coordinates):
Pa (0.0970, 0.9030, 0.5000)
Pa (0.2338, 0.4229, 0.3955)
Pa (0.4229, 0.2338, 0.8955)
Pa (0.5771, 0.7662, 0.3955)
Pa (0.7662, 0.5771, 0.8955)
Pa (0.9030, 0.0970, 0.0000)
Zn (0.2893, 0.7107, 0.8591)
Zn (0.7107, 0.2893, 0.3591)
Se (0.0534, 0.5944, 0.6695)
Se (0.1231, 0.2042, 0.6979)
Se (0.2042, 0.1231, 0.1979)
Se (0.2727, 0.7273, 0.2187)
Se (0.4056, 0.9466, 0.6695)
Se (0.4621, 0.5379, 0.7039)
Se (0.5379, 0.4621, 0.2039)
Se (0.5944, 0.0534, 0.1695)
Se (0.7273, 0.2727, 0.7187)
Se (0.7958, 0.8769, 0.6979)
Se (0.8769, 0.7958, 0.1979)
Se (0.9466, 0.4056, 0.1695)

Space-group type: Cmc2_1
Uncorrected formation energy, eV per formula unit: -11.4



Below is crystalline Pr4NiHCl2 at its relaxed geometry, with properties calculated at the PBE level.

Lattice parameters (Å, degrees): 6.7535 3.9319 7.6722 90.00 106.88 90.00
Atoms (fractional coordinates):
Pr (0.2315, 0.0000, 0.2109)
Pr (0.2491, 0.5000, 0.7912)
Pr (0.7509, 0.5000, 0.2088)
Pr (0.7685, 0.0000, 0.7891)
Ni (0.5000, 0.0000, 0.0000)
H (0.0000, 0.5000, 0.0000)
Cl (0.0000, 0.0000, 0.5000)
Cl (0.5000, 0.5000, 0.5000)

Final energy, eV per atom: -4.858
Space-group type: P2/m